Here is a relaxed structure of UMnIO6 from Alexandria via LeMat-Bulk. Energies are from PBE+U.

Computed properties:
- total energy (eV per atom) = -7.1800
- volume (Å³/atom) = 14.1
- crystal system = trigonal
- density (g/cm³) = 6.731
- space group = No. 163

The structure in POSCAR format:
```
UMnIO6
1.0
5.6463 0.0000 0.0000
-2.8231 4.8898 0.0000
0.0000 0.0000 9.2184
U Mn I O
2 2 2 12
Direct
0.3333 0.6667 0.2500
0.6667 0.3333 0.7500
0.0000 0.0000 0.0000
0.0000 0.0000 0.5000
0.3333 0.6667 0.7500
0.6667 0.3333 0.2500
0.0052 0.3465 0.6322
0.0052 0.6588 0.8678
0.3412 0.3465 0.8678
0.3412 0.9948 0.6322
0.3465 0.0052 0.1322
0.3465 0.3412 0.3678
0.6535 0.6588 0.6322
0.6535 0.9948 0.8678
0.6588 0.0052 0.3678
0.6588 0.6535 0.1322
0.9948 0.3412 0.1322
0.9948 0.6535 0.3678
```